Density functional theory data (PBE-GGA) for crystalline ReBiIO2 at its relaxed geometry.

a b c (Å): 4.2450 4.2450 6.8526
angles (deg): 90.00 90.00 90.00
Each line ends with the local moment (μB).
Element x y z (fractional)
I (0.0000, 0.0000, 0.5000)  0.03
Re (0.5000, 0.5000, 0.5000)  3.31
O (0.0000, 0.5000, 0.0000)  0.04
O (0.5000, 0.0000, 0.0000)  0.04
Bi (0.0000, 0.0000, 0.0000)  0.01

Total magnetic moment   4.24 μB per formula unit
D(E_F)   0.565 states/eV/atom
Space group   No. 123
Polymorph energy (0 for the lowest one)   809 meV per atom